The following is a GGA-PBE calculation of a relaxed structure of TlCd4Mo, from Alexandria.

```
6
Lattice="0.0000 4.1084 4.1084 4.1084 0.0000 4.1084 4.1084 4.1084 0.0000" Properties=species:S:1:pos:R:3 pbc="T T T"
Tl 0.0000 0.0000 0.0000
Cd 3.0869 5.1300 5.1300
Cd 5.1300 5.1300 3.0869
Cd 5.1300 3.0869 5.1300
Cd 3.0869 3.0869 3.0869
Mo 6.1627 6.1627 6.1627
```

Results
The value obtained for the final energy is -13.63 eV for the cell shown. As for the energy relative to the elements: 0.54 eV/atom.

***

The following is a GGA-PBE calculation of a relaxed structure of TlCdMo2, from Alexandria.

```
4
Lattice="-1.5032 5.1255 -1.8124 -1.1970 -1.2315 5.2564 1.8951 1.7296 1.2582" Properties=species:S:1:pos:R:3 pbc="T T T"
Cd -1.3501 1.9470 1.7220
Mo 0.0000 0.0000 0.0000
Mo 0.1960 3.4275 -0.2771
Tl 0.3491 0.2491 3.2573
```

Results
The value obtained for the final energy is -22.20 eV for the cell shown. As for the energy relative to the elements: 0.69 eV/atom.

***

The following is a GGA-PBE calculation of a relaxed structure of Tl2CdMo, from Alexandria.

```
4
Lattice="5.1723 0.0000 0.0000 2.5862 4.4794 0.0000 2.5862 1.4931 4.2232" Properties=species:S:1:pos:R:3 pbc="T T T"
Cd 5.1723 2.9862 2.1116
Mo 7.7585 4.4794 3.1674
Tl 0.0000 0.0000 0.0000
Tl 2.5862 1.4931 1.0558
```

Results
The value obtained for the final energy is -13.22 eV for the cell shown. As for the energy relative to the elements: 0.82 eV/atom.

***

The following is a GGA-PBE calculation of a relaxed structure of TlCdMo2, from Alexandria.

```
4
Lattice="1.5508 -3.0769 3.1885 -1.9460 -4.2624 0.2892 2.4190 -3.7826 -1.3707" Properties=species:S:1:pos:R:3 pbc="T T T"
Tl 1.0119 -5.5609 1.0535
Mo 0.5060 -2.7805 0.5268
Mo 1.5179 -8.3414 1.5803
Cd 0.0000 0.0000 0.0000
```

Results
The value obtained for the final energy is -21.39 eV for the cell shown. As for the energy relative to the elements: 0.89 eV/atom.

***

The following is a GGA-PBE calculation of a relaxed structure of Tl2CdMo, from Alexandria.

```
4
Lattice="3.0497 0.0000 0.0000 0.0000 5.6053 0.0000 0.0000 0.0000 5.2311" Properties=species:S:1:pos:R:3 pbc="T T T"
Cd 1.5248 0.0000 2.6156
Mo 0.0000 2.8027 2.6156
Tl 0.0000 0.0000 0.0000
Tl 1.5248 2.8027 0.0000
```

Results
The value obtained for the final energy is -13.86 eV for the cell shown. As for the energy relative to the elements: 0.65 eV/atom.

***

The following is a GGA-PBE calculation of a relaxed structure of TlCdMo2, from Alexandria.

```
4
Lattice="2.9684 0.0000 0.0000 0.0000 4.4860 0.0000 0.0000 0.0000 5.7744" Properties=species:S:1:pos:R:3 pbc="T T T"
Cd 1.4842 2.2430 4.3308
Mo 0.0000 0.0000 5.5397
Mo 0.0000 0.0000 3.1218
Tl 1.4842 2.2430 1.4436
```

Results
The value obtained for the final energy is -22.04 eV for the cell shown. As for the energy relative to the elements: 0.73 eV/atom.

***

The following is a GGA-PBE calculation of a relaxed structure of TlCd2Mo, from Alexandria.

```
8
Lattice="7.9583 0.0000 0.0000 0.0000 7.9583 0.0000 3.9791 3.9791 2.8831" Properties=species:S:1:pos:R:3 pbc="T T T"
Tl 0.0000 0.0000 0.0000
Tl 7.9583 3.9791 1.4416
Mo 3.9791 3.9791 0.0000
Mo 3.9791 7.9583 1.4416
Cd 5.8503 1.9896 0.7208
Cd 2.1079 5.9687 0.7208
Cd 5.9687 6.0871 2.1623
Cd 9.9478 9.8294 2.1623
```

Results
The value obtained for the final energy is -23.98 eV for the cell shown. As for the energy relative to the elements: 0.76 eV/atom.

***

The following is a GGA-PBE calculation of a relaxed structure of TlCd2Mo, from Alexandria.

```
4
Lattice="10.2346 -0.0679 -0.0398 9.7768 3.0273 -0.0398 9.7768 1.4459 2.6600" Properties=species:S:1:pos:R:3 pbc="T T T"
Cd 29.5769 4.3741 2.5622
Cd 15.1055 2.2339 1.3086
Mo 7.4471 1.1013 0.6451
Tl 22.3412 3.3040 1.9354
```

Results
The value obtained for the final energy is -13.19 eV for the cell shown. As for the energy relative to the elements: 0.46 eV/atom.

***

The following is a GGA-PBE calculation of a relaxed structure of TlCdMo2, from Alexandria.

```
4
Lattice="-1.7972 -2.2224 0.2392 0.7573 0.2099 -2.7583 7.3874 -5.8031 1.5866" Properties=species:S:1:pos:R:3 pbc="T T T"
Cd 5.0206 -5.3586 -0.0696
Mo 7.3831 -5.7998 1.5857
Mo 3.6980 -2.9049 0.7942
Tl 1.3269 -2.4570 -0.8629
```

Results
The value obtained for the final energy is -22.09 eV for the cell shown. As for the energy relative to the elements: 0.71 eV/atom.

***

The following is a GGA-PBE calculation of a relaxed structure of TlCd2Mo, from Alexandria.

```
4
Lattice="-3.0827 0.6702 -3.8238 -0.4939 -3.5394 -3.4354 -4.2041 -2.6115 -0.2816" Properties=species:S:1:pos:R:3 pbc="T T T"
Cd 0.0000 0.0000 0.0000
Cd -1.9452 -1.3702 -1.8852
Mo -3.8904 -2.7404 -3.7704
Tl -5.8356 -4.1105 -5.6557
```

Results
The value obtained for the final energy is -12.24 eV for the cell shown. As for the energy relative to the elements: 0.70 eV/atom.